# 1
First-principles (PBE) data for a relaxed structure of OF, as listed in Alexandria via LeMat-Bulk.

- Energy relative to the lowest polymorph listed for this composition: 0.2053 eV/atom
- Space-group type: C2/m

abc: 3.0498 3.2123 5.0101
angles: 98.29 107.72 90.00
Positions (direct):
O (0.9385, 0.9906, 0.8769)
F (0.3613, 0.3314, 0.7226)
F (0.6387, 0.6686, 0.2774)
O (0.0615, 0.0094, 0.1231)

=====

# 2
First-principles (PBE) data for a relaxed structure of Cd2SbPd2, as listed in Alexandria via LeMat-Bulk.

- Energy relative to the lowest polymorph listed for this composition: 0.1827 eV/atom
- Space-group type: I4/mmm

abc: 3.8463 3.8463 7.4368
angles: 75.01 75.01 90.00
Positions (direct):
Pd (0.5968, 0.5968, 0.8063)
Sb (0.0000, 0.0000, 0.0000)
Cd (0.7500, 0.2500, 0.5000)
Cd (0.2500, 0.7500, 0.5000)
Pd (0.4032, 0.4032, 0.1937)

=====

# 3
First-principles (PBE) data for a relaxed structure of Al6Ga3Ag, as listed in Alexandria via LeMat-Bulk.

- DFT formation energy: 0.104 eV per atom
- Energy relative to the lowest polymorph listed for this composition: 0.0358 eV/atom
- Space-group type: Cmc2_1

abc: 6.1785 8.5149 8.5149
angles: 121.46 90.00 90.00
Positions (direct):
Al (0.2464, 0.4879, 0.9042)
Al (0.2358, 0.9653, 0.0347)
Ag (0.5213, 0.8251, 0.1749)
Ag (0.0213, 0.1749, 0.8251)
Al (0.1834, 0.3075, 0.3427)
Ga (0.8807, 0.7085, 0.9422)
Al (0.7358, 0.0347, 0.9653)
Al (0.1834, 0.6573, 0.6925)
Al (0.6321, 0.2387, 0.7613)
Ga (0.9752, 0.6014, 0.3986)
Al (0.7464, 0.5121, 0.0958)
Ga (0.8807, 0.0578, 0.2915)
Al (0.1321, 0.7613, 0.2387)
Ga (0.3807, 0.9422, 0.7085)
Al (0.6834, 0.3427, 0.3075)
Ga (0.4752, 0.3986, 0.6014)
Al (0.7464, 0.9042, 0.4879)
Al (0.6834, 0.6925, 0.6573)
Al (0.2464, 0.0958, 0.5121)
Ga (0.3807, 0.2915, 0.0578)

=====

# 4
First-principles (PBE) data for a relaxed structure of CaZr2Be, as listed in Alexandria via LeMat-Bulk.

- DFT formation energy: 0.520 eV per atom
- Space-group type: C2/m

abc: 6.2507 6.2507 3.1087
angles: 77.12 77.12 123.28
Positions (direct):
Zr (0.5000, 0.5000, 0.0000)
Ca (0.0000, 0.5000, 0.5000)
Zr (0.0000, 0.0000, 0.0000)
Be (0.5000, 0.0000, 0.5000)

=====

# 5
First-principles (PBE) data for a relaxed structure of MnCuCl2, as listed in Alexandria via LeMat-Bulk.

- Energy relative to the lowest polymorph listed for this composition: 0.2861 eV/atom
- Space-group type: Cmmm

abc: 3.4950 3.4948 7.5274
angles: 90.00 90.00 124.18
Site moments in Bohr magnetons follow the coordinates.
Positions (direct):
Cl (0.0000, 0.0000, 0.4870)  0.02
Mn (0.5000, 0.5000, 0.7500)  3.92
Cu (0.5000, 0.5000, 0.2500)  0.01
Cl (0.0000, 0.0000, 0.0130)  0.02

=====

# 6
First-principles (PBE) data for a relaxed structure of SrZnCr3, as listed in Alexandria via LeMat-Bulk.

- DFT formation energy: 0.976 eV per atom
- Energy relative to the lowest polymorph listed for this composition: 0.0000 eV/atom
- Space-group type: Pm-3m

abc: 4.9436 4.9436 4.9436
angles: 90.00 90.00 90.00
Site moments in Bohr magnetons follow the coordinates.
Positions (direct):
Cr (0.0000, 0.0000, 0.5000)  3.84
Cr (0.0000, 0.5000, 0.0000)  3.71
Zn (0.0000, 0.0000, 0.0000)  0.01
Cr (0.5000, 0.0000, 0.0000)  3.37
Sr (0.5000, 0.5000, 0.5000)  0.05

=====

# 7
First-principles (PBE) data for a relaxed structure of Li3Ac2BiPd12, as listed in Alexandria via LeMat-Bulk.

- DFT formation energy: -0.328 eV per atom
- Space-group type: R-3m

abc: 10.2574 10.2574 10.2574
angles: 37.51 37.51 37.51
Positions (direct):
Pd (0.8172, 0.4050, 0.4050)
Pd (0.1316, 0.5603, 0.1316)
Li (0.0000, 0.5000, 0.0000)
Ac (0.6319, 0.6319, 0.6319)
Pd (0.5950, 0.5950, 0.1828)
Pd (0.5603, 0.1316, 0.1316)
Pd (0.8684, 0.4397, 0.8684)
Pd (0.5950, 0.1828, 0.5950)
Pd (0.1316, 0.1316, 0.5603)
Pd (0.4050, 0.8172, 0.4050)
Pd (0.4050, 0.4050, 0.8172)
Ac (0.3681, 0.3681, 0.3681)
Pd (0.4397, 0.8684, 0.8684)
Li (0.5000, 0.0000, 0.0000)
Pd (0.8684, 0.8684, 0.4397)
Li (0.0000, 0.0000, 0.5000)
Bi (0.0000, 0.0000, 0.0000)
Pd (0.1828, 0.5950, 0.5950)

=====

# 8
First-principles (PBE) data for a relaxed structure of La2Mn2Ga, as listed in Alexandria via LeMat-Bulk.

- DFT formation energy: 0.004 eV per atom
- Space-group type: P4/mbm

abc: 7.1120 7.1120 4.4502
angles: 90.00 90.00 90.00
Site moments in Bohr magnetons follow the coordinates.
Positions (direct):
Mn (0.8714, 0.6286, 0.0000)  2.99
Ga (0.5000, 0.5000, 0.0000)  -0.10
Mn (0.3714, 0.8714, 0.0000)  3.02
La (0.6788, 0.8212, 0.5000)  -0.18
La (0.3212, 0.1788, 0.5000)  -0.18
Ga (0.0000, 0.0000, 0.0000)  -0.10
La (0.8212, 0.3212, 0.5000)  -0.18
La (0.1788, 0.6788, 0.5000)  -0.18
Mn (0.6286, 0.1286, 0.0000)  3.02
Mn (0.1286, 0.3714, 0.0000)  3.00

=====

Here are the calculated M_tot numbers, same order: 0.02; 0.00; 0.00; 0.00; 4.14; 12.41; 0.00; 5.36 (μB per formula unit).